[1]
{
  "formula": "ZnIr3I",
  "functional": "PBE-GGA",
  "state": "optimized geometry",
  "total_energy_ev_per_atom": -4.2079,
  "formation_energy_uncorrected_ev_per_atom": 1.673,
  "magmom_total_mub_per_atom": 0.5647,
  "de_polymorph_mev_per_atom": 0,
  "cell": [[4.643, 0.000, 0.000], [0.000, 4.643, 0.000], [0.000, 0.000, 4.643]],
  "species": ["I", "Zn", "Ir", "Ir", "Ir"],
  "fractional_positions": [[0.500, 0.500, 0.500], [0.000, 0.000, 0.000], [0.000, 0.500, 0.000], [0.000, 0.000, 0.500], [0.500, 0.000, 0.000]]
}

[2]
{
  "formula": "NaSr5Zn4",
  "functional": "PBE-GGA",
  "state": "optimized geometry",
  "total_energy_ev_per_atom": -1.6311,
  "magmom_total_mub_per_atom": 0.0000,
  "ef_mev_per_atom": -149,
  "cell": [[3.930, 0.000, 0.000], [0.000, 3.930, 0.000], [0.000, 0.000, 21.240]],
  "species": ["Na", "Sr", "Sr", "Sr", "Sr", "Sr", "Zn", "Zn", "Zn", "Zn"],
  "fractional_positions": [[0.000, 0.000, 0.000], [0.500, 0.500, 0.136], [0.500, 0.500, 0.317], [0.500, 0.500, 0.500], [0.500, 0.500, 0.683], [0.500, 0.500, 0.864], [0.000, 0.000, 0.223], [0.000, 0.000, 0.409], [0.000, 0.000, 0.591], [0.000, 0.000, 0.777]]
}

[3]
{
  "formula": "Na14TlAg",
  "functional": "PBE-GGA",
  "state": "optimized geometry",
  "total_energy_ev_per_atom": -1.4899,
  "magmom_total_mub_per_atom": 0.0000,
  "ef_mev_per_atom": -10,
  "cell": [[6.961, 1.441, 0.000], [-1.403, 6.968, 0.000], [0.000, 0.000, 10.359]],
  "species": ["Na", "Na", "Na", "Na", "Na", "Na", "Na", "Na", "Na", "Na", "Na", "Na", "Na", "Na", "Tl", "Ag"],
  "fractional_positions": [[0.125, 0.875, 0.000], [0.626, 0.374, 0.000], [0.125, 0.376, 0.500], [0.126, 0.375, 0.000], [0.624, 0.875, 0.500], [0.625, 0.874, 0.000], [0.374, 0.124, 0.725], [0.374, 0.124, 0.275], [0.876, 0.626, 0.725], [0.876, 0.626, 0.275], [0.371, 0.629, 0.724], [0.371, 0.629, 0.276], [0.879, 0.121, 0.723], [0.879, 0.121, 0.277], [0.625, 0.375, 0.500], [0.125, 0.875, 0.500]]
}